Computed, not measured: NaAg4Sb after structural relaxation at the PBE level of DFT.

a = 5.2040 Å, b = 7.8925 Å, c = 7.3726 Å
α = 90.00°, β = 110.67°, γ = 90.00°
Closest atoms and distances in Å follow each position.
Positions (direct):
1 Ag 0.4080 0.2500 0.8159  2 Sb 2.71, 1 Na 2.90, 2 Ag 2.99
2 Ag 0.0000 0.5000 0.0000  2 Sb 2.83, 2 Ag 3.03
3 Ag 0.5920 0.7500 0.1841  2 Sb 2.71, 1 Na 2.90, 2 Ag 2.99
4 Ag 0.0000 0.0000 0.0000  2 Sb 2.83, 2 Ag 3.03
5 Ag 0.7851 0.5788 0.5701  2 Ag 2.70-2.99, 1 Sb 2.76
6 Ag 0.2149 0.0788 0.4299  2 Ag 2.70-2.99, 1 Sb 2.76
7 Ag 0.2149 0.4212 0.4299  2 Ag 2.70-2.99, 1 Sb 2.76
8 Ag 0.7851 0.9212 0.5701  2 Ag 2.70-2.99, 1 Sb 2.76
9 Na 0.3821 0.7500 0.7641  5 Ag 2.90-3.22, 1 Sb 3.24
10 Na 0.6179 0.2500 0.2359  5 Ag 2.90-3.22, 1 Sb 3.24
11 Sb 0.8531 0.2500 0.7061  6 Ag 2.71-2.83
12 Sb 0.1469 0.7500 0.2939  6 Ag 2.71-2.83

- Formation energy without anion corrections: 121 meV/atom
- Crystal system: orthorhombic
- Density of states at the Fermi level: 0.21 states/eV per atom

=====

Computed, not measured: NaAgSb3 after structural relaxation at the PBE level of DFT.

a = 5.4665 Å, b = 5.4665 Å, c = 5.4665 Å
α = 90.00°, β = 90.00°, γ = 90.00°
Closest atoms and distances in Å follow each position.
Positions (direct):
1 Sb 0.0000 0.0000 0.5000  2 Ag 2.73
2 Sb 0.0000 0.5000 0.0000  2 Ag 2.73
3 Sb 0.5000 0.0000 0.0000  2 Ag 2.73
4 Ag 0.0000 0.0000 0.0000  6 Sb 2.73
5 Na 0.5000 0.5000 0.5000  12 Sb 3.87

- Formation energy without anion corrections: 357 meV/atom
- Crystal system: cubic
- Density of states at the Fermi level: 0.62 states/eV per atom

=====

Computed, not measured: NaAg8Sb3 after structural relaxation at the PBE level of DFT.

a = 5.6965 Å, b = 5.6965 Å, c = 9.1083 Å
α = 90.00°, β = 90.00°, γ = 120.00°
Closest atoms and distances in Å follow each position.
Positions (direct):
1 Ag 0.1647 0.3294 0.2493  6 Ag 2.81-2.88, 1 Sb 3.09
2 Ag 0.9949 0.4974 0.7476  6 Ag 2.80-2.89, 2 Sb 3.08-3.14
3 Ag 0.3333 0.6667 0.4994  6 Ag 2.81-2.82
4 Ag 0.3333 0.6667 0.9973  6 Ag 2.82-2.83
5 Ag 0.5026 0.4974 0.7476  6 Ag 2.80-2.89, 2 Sb 3.08-3.14
6 Ag 0.6706 0.8353 0.2493  6 Ag 2.81-2.88, 1 Sb 3.09
7 Ag 0.1647 0.8353 0.2493  6 Ag 2.81-2.88, 1 Sb 3.09
8 Ag 0.5026 0.0051 0.7476  6 Ag 2.80-2.89, 2 Sb 3.08-3.14
9 Sb 0.6667 0.3333 0.4523  12 Ag 3.14-3.40, 3 Na 3.44
10 Sb 0.0000 0.0000 0.9604  12 Ag 3.09-3.45, 3 Sb 3.36
11 Sb 0.6667 0.3333 0.0350  6 Ag 3.08-3.31, 3 Sb 3.36
12 Na 0.0000 0.0000 0.5646  12 Ag 3.30-3.34, 4 Sb 3.44-3.60

- Formation energy without anion corrections: 43 meV/atom
- Crystal system: trigonal
- Density of states at the Fermi level: 0.35 states/eV per atom

=====

Computed, not measured: Na3Ag2Sb4 after structural relaxation at the PBE level of DFT.

a = 4.9790 Å, b = 5.9671 Å, c = 9.7638 Å
α = 72.08°, β = 75.23°, γ = 65.34°
Closest atoms and distances in Å follow each position.
Positions (direct):
1 Sb 0.0028 0.3368 0.6576  2 Ag 2.83, 2 Sb 3.09-3.10
2 Sb 0.2575 0.4027 0.0823  1 Ag 2.85, 3 Sb 3.00-3.10, 1 Na 3.15
3 Sb 0.7425 0.5973 0.9177  1 Ag 2.85, 3 Sb 3.00-3.10, 1 Na 3.15
4 Sb 0.9972 0.6632 0.3424  2 Ag 2.83, 2 Sb 3.09-3.10
5 Ag 0.4164 0.9044 0.2628  3 Sb 2.83-2.85
6 Ag 0.5836 0.0956 0.7372  3 Sb 2.83-2.85
7 Na 0.6837 0.2570 0.3756  5 Sb 3.29-3.67, 4 Ag 3.32-3.45
8 Na 0.0000 0.0000 0.0000  8 Sb 3.15-3.51, 4 Ag 3.47
9 Na 0.3163 0.7430 0.6244  5 Sb 3.29-3.67, 4 Ag 3.32-3.45

- Formation energy without anion corrections: -159 meV/atom
- Crystal system: monoclinic
- Density of states at the Fermi level: 0.26 states/eV per atom

=====

Computed, not measured: Na3AgSb after structural relaxation at the PBE level of DFT.

a = 5.8594 Å, b = 5.8594 Å, c = 5.8594 Å
α = 90.00°, β = 90.00°, γ = 90.00°
Closest atoms and distances in Å follow each position.
Positions (direct):
1 Na 0.5000 0.0000 0.0000  2 Sb 2.93
2 Na 0.0000 0.5000 0.0000  2 Sb 2.93
3 Na 0.0000 0.0000 0.5000  2 Sb 2.93
4 Sb 0.0000 0.0000 0.0000  6 Na 2.93
5 Ag 0.5000 0.5000 0.5000  12 Na 4.14

- Formation energy without anion corrections: 103 meV/atom
- Crystal system: cubic
- Density of states at the Fermi level: 0.69 states/eV per atom

=====

Computed, not measured: Na2Ag2Sb after structural relaxation at the PBE level of DFT.

a = 7.1991 Å, b = 7.1991 Å, c = 4.8827 Å
α = 90.00°, β = 90.00°, γ = 90.00°
Closest atoms and distances in Å follow each position.
Positions (direct):
1 Sb 0.5000 0.5000 0.0000  4 Ag 2.79
2 Sb 0.0000 0.0000 0.0000  4 Ag 2.79
3 Ag 0.1367 0.3633 0.0000  1 Ag 2.78, 2 Sb 2.79, 2 Na 3.10
4 Ag 0.3633 0.8633 0.0000  1 Ag 2.78, 2 Sb 2.79, 2 Na 3.10
5 Ag 0.8633 0.6367 0.0000  1 Ag 2.78, 2 Sb 2.79, 2 Na 3.10
6 Ag 0.6367 0.1367 0.0000  1 Ag 2.78, 2 Sb 2.79, 2 Na 3.10
7 Na 0.3240 0.1760 0.5000  6 Ag 3.10-3.33
8 Na 0.8240 0.3240 0.5000  6 Ag 3.10-3.33
9 Na 0.1760 0.6760 0.5000  6 Ag 3.10-3.33
10 Na 0.6760 0.8240 0.5000  6 Ag 3.10-3.33

- Formation energy without anion corrections: -114 meV/atom
- Crystal system: tetragonal
- Density of states at the Fermi level: 0.48 states/eV per atom

=====

Computed, not measured: NaAg12Sb6 after structural relaxation at the PBE level of DFT.

a = 7.8624 Å, b = 7.8624 Å, c = 7.8624 Å
α = 92.83°, β = 92.83°, γ = 92.83°
Closest atoms and distances in Å follow each position.
Positions (direct):
1 Sb 0.8017 0.8017 0.3210  6 Ag 2.81-2.88
2 Sb 0.6790 0.1983 0.1983  6 Ag 2.81-2.88
3 Sb 0.3210 0.8017 0.8017  6 Ag 2.81-2.88
4 Sb 0.8017 0.3210 0.8017  6 Ag 2.81-2.88
5 Sb 0.1983 0.1983 0.6790  6 Ag 2.81-2.88
6 Sb 0.1983 0.6790 0.1983  6 Ag 2.81-2.88
7 Ag 0.1272 0.5000 0.8728  4 Sb 2.85-2.88, 3 Ag 2.90-3.08
8 Ag 0.2193 0.4958 0.4958  2 Sb 2.81, 4 Ag 3.08
9 Ag 0.8728 0.5000 0.1272  4 Sb 2.85-2.88, 3 Ag 2.90-3.08
10 Ag 0.5000 0.8728 0.1272  4 Sb 2.85-2.88, 3 Ag 2.90-3.08
11 Ag 0.5042 0.5042 0.7807  2 Sb 2.81, 4 Ag 3.08
12 Ag 0.1272 0.8728 0.5000  4 Sb 2.85-2.88, 3 Ag 2.90-3.08
13 Ag 0.7807 0.5042 0.5042  2 Sb 2.81, 4 Ag 3.08
14 Ag 0.8728 0.1272 0.5000  4 Sb 2.85-2.88, 3 Ag 2.90-3.08
15 Ag 0.5000 0.1272 0.8728  4 Sb 2.85-2.88, 3 Ag 2.90-3.08
16 Ag 0.4958 0.4958 0.2193  2 Sb 2.81, 4 Ag 3.08
17 Ag 0.5042 0.7807 0.5042  2 Sb 2.81, 4 Ag 3.08
18 Ag 0.4958 0.2193 0.4958  2 Sb 2.81, 4 Ag 3.08
19 Na 0.0000 0.0000 0.0000  6 Sb 3.43

- Formation energy without anion corrections: 100 meV/atom
- Crystal system: trigonal
- Density of states at the Fermi level: 0.31 states/eV per atom

=====

Computed, not measured: Na3AgSb4 after structural relaxation at the PBE level of DFT.

a = 3.3431 Å, b = 9.7651 Å, c = 8.4361 Å
α = 125.36°, β = 101.43°, γ = 90.00°
Closest atoms and distances in Å follow each position.
Positions (direct):
1 Sb 0.3881 0.1378 0.7761  1 Ag 2.86, 1 Sb 2.99
2 Sb 0.6119 0.3616 0.2239  1 Ag 2.86, 1 Sb 2.99
3 Sb 0.3881 0.6384 0.7761  1 Ag 2.86, 1 Sb 2.99
4 Sb 0.6119 0.8622 0.2239  1 Ag 2.86, 1 Sb 2.99
5 Na 0.7785 0.7785 0.5569  6 Sb 3.30, 2 Na 3.34, 2 Ag 3.40
6 Na 0.0000 0.5000 0.0000  8 Sb 3.32, 2 Na 3.34
7 Na 0.2215 0.2215 0.4431  6 Sb 3.30, 2 Na 3.34, 2 Ag 3.40
8 Ag 0.5000 0.0000 0.0000  4 Sb 2.86

- Formation energy without anion corrections: -207 meV/atom
- Crystal system: orthorhombic
- Density of states at the Fermi level: 0.14 states/eV per atom

=====

Computed, not measured: Na2Ag2Sb after structural relaxation at the PBE level of DFT.

a = 4.1827 Å, b = 4.1827 Å, c = 7.5658 Å
α = 73.95°, β = 73.95°, γ = 90.00°
Closest atoms and distances in Å follow each position.
Positions (direct):
1 Sb 0.0000 0.0000 0.0000  8 Ag 3.24
2 Na 0.7500 0.2500 0.5000  4 Na 2.96, 4 Ag 3.00
3 Na 0.2500 0.7500 0.5000  4 Na 2.96, 4 Ag 3.00
4 Ag 0.5954 0.5954 0.8093  1 Ag 2.66
5 Ag 0.4046 0.4046 0.1907  1 Ag 2.66

- Formation energy without anion corrections: 210 meV/atom
- Crystal system: tetragonal
- Density of states at the Fermi level: 0.51 states/eV per atom

=====

Computed, not measured: Na5AgSb2 after structural relaxation at the PBE level of DFT.

a = 5.3990 Å, b = 5.3990 Å, c = 19.1911 Å
α = 90.00°, β = 90.00°, γ = 120.00°
Closest atoms and distances in Å follow each position.
Positions (direct):
1 Ag 0.3333 0.6667 0.2500  2 Sb 2.65
2 Ag 0.6667 0.3333 0.7500  2 Sb 2.65
3 Sb 0.6667 0.3333 0.6119  1 Ag 2.65
4 Sb 0.3333 0.6667 0.3881  1 Ag 2.65
5 Sb 0.3333 0.6667 0.1119  1 Ag 2.65
6 Sb 0.6667 0.3333 0.8881  1 Ag 2.65
7 Na 0.6667 0.3333 0.0540  4 Sb 3.18-3.31, 3 Na 3.50
8 Na 0.6667 0.3333 0.2500  3 Ag 3.12
9 Na 0.3333 0.6667 0.9460  4 Sb 3.18-3.31, 3 Na 3.50
10 Na 0.0000 0.0000 0.3631  3 Sb 3.15, 3 Na 3.50
11 Na 0.3333 0.6667 0.7500  3 Ag 3.12
12 Na 0.3333 0.6667 0.5540  4 Sb 3.18-3.31, 3 Na 3.50
13 Na 0.6667 0.3333 0.4460  4 Sb 3.18-3.31, 3 Na 3.50
14 Na 0.0000 0.0000 0.1369  3 Sb 3.15, 3 Na 3.50
15 Na 0.0000 0.0000 0.8631  3 Sb 3.15, 3 Na 3.50
16 Na 0.0000 0.0000 0.6369  3 Sb 3.15, 3 Na 3.50

- Formation energy without anion corrections: -362 meV/atom
- Crystal system: hexagonal
- Density of states at the Fermi level: 0.00 states/eV per atom